Entry 1:
Computed, not measured: a relaxed ZnRe2Hg crystal at the PBE level of DFT.

```
data_ZnRe2Hg
_symmetry_space_group_name_H-M 'P 4/m m m'
_symmetry_Int_Tables_number 123
_symmetry_space_group_name_Hall '-P 4 2'
_cell_length_a 4.499
_cell_length_b 4.499
_cell_length_c 3.138
_cell_angle_alpha 90.00
_cell_angle_beta 90.00
_cell_angle_gamma 90.00
loop_
_atom_site_label
_atom_site_fract_x
_atom_site_fract_y
_atom_site_fract_z
_atom_site_occupancy
Zn1 0.000 0.000 0.000 1
Re1 0.000 0.500 0.500 1
Hg1 0.500 0.500 0.000 1
```

Computed properties:
E_tot = -22.5 eV/cell
E above lowest polymorph = 71.71 kJ per mole of atoms
energy of formation = 1.001 eV/atom

---

Entry 2:
Computed, not measured: a relaxed Dy6CdRu crystal at the PBE level of DFT.

```
data_Dy6CdRu
_symmetry_space_group_name_H-M 'I 4/m m m'
_symmetry_Int_Tables_number 139
_symmetry_space_group_name_Hall '-I 4 2'
_cell_length_a 5.060
_cell_length_b 5.060
_cell_length_c 17.127
_cell_angle_alpha 90.00
_cell_angle_beta 90.00
_cell_angle_gamma 90.00
loop_
_atom_site_label
_atom_site_fract_x
_atom_site_fract_y
_atom_site_fract_z
_atom_site_occupancy
Dy1 0.000 0.000 0.250 1
Dy2 0.000 0.500 0.101 1
Cd1 0.000 0.000 0.000 1
Ru1 0.000 0.000 0.500 1
```

Computed properties:
E_tot = -77.4 eV/cell
E above lowest polymorph = 0.00 kJ per mole of atoms
energy of formation = -0.111 eV/atom

---

Entry 3:
Computed, not measured: a relaxed AlFe3Os crystal at the PBE level of DFT.

```
data_AlFe3Os
_symmetry_space_group_name_H-M 'P m -3 m'
_symmetry_Int_Tables_number 221
_symmetry_space_group_name_Hall '-P 4 2 3'
_cell_length_a 4.074
_cell_length_b 4.074
_cell_length_c 4.074
_cell_angle_alpha 90.00
_cell_angle_beta 90.00
_cell_angle_gamma 90.00
loop_
_atom_site_label
_atom_site_fract_x
_atom_site_fract_y
_atom_site_fract_z
_atom_site_occupancy
Al1 0.000 0.000 0.000 1
Fe1 0.000 0.000 0.500 1
Os1 0.500 0.500 0.500 1
```

Computed properties:
E_tot = -32.4 eV/cell
E above lowest polymorph = 18.72 kJ per mole of atoms
energy of formation = 1.588 eV/atom

---

Entry 4:
Computed, not measured: a relaxed Na4Tb3ErSe8 crystal at the PBE level of DFT.

```
data_Na4Tb3ErSe8
_symmetry_space_group_name_H-M 'R -3 m'
_symmetry_Int_Tables_number 166
_symmetry_space_group_name_Hall '-R 3 2"'
_cell_length_a 8.3017
_cell_length_b 8.3017
_cell_length_c 21.0247
_cell_angle_alpha 90.00
_cell_angle_beta 90.00
_cell_angle_gamma 120.00
loop_
_atom_site_label
_atom_site_fract_x
_atom_site_fract_y
_atom_site_fract_z
_atom_site_occupancy
Na1 0.0000 0.0000 0.0000 1
Na2 0.0000 0.5000 0.0000 1
Tb1 0.0000 0.5000 0.5000 1
Er1 0.0000 0.0000 0.5000 1
Se1 0.0000 0.0000 0.2435 1
Se2 0.0028 0.5014 0.2431 1
```

Computed properties:
E_tot = -236.8 eV/cell
formation energy without anion corrections = -2635 kJ/mol of formula units

---

Entry 5:
Computed, not measured: a relaxed Tb10YEr4 crystal at the PBE level of DFT.

```
data_Tb10YEr4
_symmetry_space_group_name_H-M 'I 4/m'
_symmetry_Int_Tables_number 87
_symmetry_space_group_name_Hall '-I 4'
_cell_length_a 12.131
_cell_length_b 12.131
_cell_length_c 7.672
_cell_angle_alpha 90.00
_cell_angle_beta 90.00
_cell_angle_gamma 90.00
loop_
_atom_site_label
_atom_site_fract_x
_atom_site_fract_y
_atom_site_fract_z
_atom_site_occupancy
Tb1 0.000 0.500 0.250 1
Tb2 0.100 0.201 0.249 1
Y1 0.000 0.000 0.500 1
Er1 0.100 0.700 0.000 1
```

Computed properties:
E_tot = -120.3 eV/cell
energy of formation = 0.726 eV/atom

---

Entry 6:
Computed, not measured: a relaxed LiTbGe2Pd crystal at the PBE level of DFT.

```
data_LiTbGe2Pd
_symmetry_space_group_name_H-M 'I -4 m 2'
_symmetry_Int_Tables_number 119
_symmetry_space_group_name_Hall 'I -4 -2'
_cell_length_a 4.071
_cell_length_b 4.071
_cell_length_c 10.941
_cell_angle_alpha 90.00
_cell_angle_beta 90.00
_cell_angle_gamma 90.00
loop_
_atom_site_label
_atom_site_fract_x
_atom_site_fract_y
_atom_site_fract_z
_atom_site_occupancy
Li1 0.000 0.000 0.000 1
Tb1 0.000 0.500 0.250 1
Ge1 0.000 0.500 0.638 1
Pd1 0.000 0.000 0.500 1
```

Computed properties:
E_tot = -49.5 eV/cell
energy of formation = -0.752 eV/atom

---

Entry 7:
Computed, not measured: a relaxed TaTl2AgS4 crystal at the PBE level of DFT.

```
data_TaTl2AgS4
_symmetry_space_group_name_H-M 'I -4'
_symmetry_Int_Tables_number 82
_cell_length_a 7.537
_cell_length_b 7.537
_cell_length_c 8.051
_cell_angle_alpha 90.00
_cell_angle_beta 90.00
_cell_angle_gamma 90.00
loop_
_symmetry_equiv_pos_as_xyz
'x,y,z'
'y,-x,-z'
'-x,-y,z'
'-y,x,-z'
'x+1/2,y+1/2,z+1/2'
'y+1/2,-x+1/2,-z+1/2'
'-x+1/2,-y+1/2,z+1/2'
'-y+1/2,x+1/2,-z+1/2'
loop_
_atom_site_label
_atom_site_fract_x
_atom_site_fract_y
_atom_site_fract_z
_atom_site_occupancy
Ta1 0.000 0.000 0.000 1
Tl1 0.000 0.000 0.500 1
Tl2 0.000 0.500 0.250 1
Ag1 0.000 0.500 0.750 1
S1 0.147 0.798 0.838 1
```

Computed properties:
E_tot = -81.0 eV/cell
formation energy without anion corrections = -441 kJ/mol of formula units
E above lowest polymorph = 4.85 kJ per mole of atoms

---

Entry 8:
Computed, not measured: a relaxed InBiN3 crystal at the PBE level of DFT.

```
data_InBiN3
_symmetry_space_group_name_H-M 'P m -3 m'
_symmetry_Int_Tables_number 221
_symmetry_space_group_name_Hall '-P 4 2 3'
_cell_length_a 4.291
_cell_length_b 4.291
_cell_length_c 4.291
_cell_angle_alpha 90.00
_cell_angle_beta 90.00
_cell_angle_gamma 90.00
loop_
_atom_site_label
_atom_site_fract_x
_atom_site_fract_y
_atom_site_fract_z
_atom_site_occupancy
In1 0.000 0.000 0.000 1
Bi1 0.500 0.500 0.500 1
N1 0.000 0.500 0.500 1
```

Computed properties:
E_tot = -22.3 eV/cell
formation energy without anion corrections = 898 kJ/mol of formula units

---

Entry 9:
Computed, not measured: a relaxed NdZrGa2Pd5 crystal at the PBE level of DFT.

```
data_NdZrGa2Pd5
_symmetry_space_group_name_H-M 'P 4/m m m'
_symmetry_Int_Tables_number 123
_symmetry_space_group_name_Hall '-P 4 2'
_cell_length_a 4.156
_cell_length_b 4.156
_cell_length_c 9.373
_cell_angle_alpha 90.00
_cell_angle_beta 90.00
_cell_angle_gamma 90.00
loop_
_atom_site_label
_atom_site_fract_x
_atom_site_fract_y
_atom_site_fract_z
_atom_site_occupancy
Nd1 0.000 0.000 0.000 1
Zr1 0.000 0.000 0.500 1
Ga1 0.500 0.500 0.374 1
Pd1 0.000 0.500 0.231 1
Pd2 0.500 0.500 0.000 1
```

Computed properties:
E_tot = -51.0 eV/cell
energy of formation = -0.627 eV/atom

---

Entry 10:
Computed, not measured: a relaxed Tl2Hg13 crystal at the PBE level of DFT.

```
data_Tl2Hg13
_symmetry_space_group_name_H-M 'R -3 m'
_symmetry_Int_Tables_number 166
_symmetry_space_group_name_Hall '-R 3 2"'
_cell_length_a 8.8170
_cell_length_b 8.8170
_cell_length_c 23.2041
_cell_angle_alpha 90.00
_cell_angle_beta 90.00
_cell_angle_gamma 120.00
loop_
_atom_site_label
_atom_site_fract_x
_atom_site_fract_y
_atom_site_fract_z
_atom_site_occupancy
Tl1 0.0000 0.0000 0.2312 1
Hg1 0.0000 0.0000 0.0000 1
Hg2 0.0770 0.5385 0.5613 1
Hg3 0.0956 0.5478 0.2943 1
```

Computed properties:
E_tot = -23.1 eV/cell
E above lowest polymorph = 4.37 kJ per mole of atoms
energy of formation = 0.065 eV/atom

---

Entry 11:
Computed, not measured: a relaxed Ce2TmSi4Pt3 crystal at the PBE level of DFT.

```
data_Ce2TmSi4Pt3
_symmetry_space_group_name_H-M 'P -4 m 2'
_symmetry_Int_Tables_number 115
_cell_length_a 4.256
_cell_length_b 4.256
_cell_length_c 10.663
_cell_angle_alpha 90.00
_cell_angle_beta 90.00
_cell_angle_gamma 90.00
loop_
_symmetry_equiv_pos_as_xyz
'x,y,z'
'y,-x,-z'
'-x,-y,z'
'-y,x,-z'
'-x,y,z'
'-y,-x,-z'
'x,-y,z'
'y,x,-z'
loop_
_atom_site_label
_atom_site_fract_x
_atom_site_fract_y
_atom_site_fract_z
_atom_site_occupancy
Ce1 0.000 0.500 0.233 1
Tm1 0.000 0.000 0.500 1
Si1 0.000 0.000 0.000 1
Si2 0.000 0.500 0.663 1
Si3 0.500 0.500 0.000 1
Pt1 0.000 0.500 0.890 1
Pt2 0.500 0.500 0.500 1
```

Computed properties:
E_tot = -66.1 eV/cell
formation energy without anion corrections = -960 kJ/mol of formula units

---

Entry 12:
Computed, not measured: a relaxed SrLaNb2Ge crystal at the PBE level of DFT.

```
data_SrLaNb2Ge
_symmetry_space_group_name_H-M 'P 4/m m m'
_symmetry_Int_Tables_number 123
_symmetry_space_group_name_Hall '-P 4 2'
_cell_length_a 5.009
_cell_length_b 5.009
_cell_length_c 5.671
_cell_angle_alpha 90.00
_cell_angle_beta 90.00
_cell_angle_gamma 90.00
loop_
_atom_site_label
_atom_site_fract_x
_atom_site_fract_y
_atom_site_fract_z
_atom_site_occupancy
Sr1 0.000 0.000 0.000 1
La1 0.500 0.500 0.000 1
Nb1 0.000 0.500 0.500 1
Ge1 0.000 0.000 0.500 1
```

Computed properties:
E_tot = -28.3 eV/cell
energy of formation = 0.606 eV/atom

---

| no. | total moment (μB per cell) |
| --- | --- |
| 1 | 0.000 |
| 2 | 0.001 |
| 3 | 0.000 |
| 4 | 0.000 |
| 5 | 0.008 |
| 6 | 0.000 |
| 7 | 0.000 |
| 8 | 1.111 |
| 9 | 0.000 |
| 10 | 0.000 |
| 11 | 0.803 |
| 12 | 0.000 |